Material: Ta2PIr
Method: DFT, PBE
State: optimized geometry

- Formation enthalpy at 0 K: -0.486 eV/atom

Cell lengths 2.9753, 2.9753, 6.9806 Å; angles 90.00, 90.00, 90.00 degrees
Space group P4/mmm (No. 123)
One atom of each set of equivalent atoms:
Ta1 0.0000 0.0000 0.2268 x2
P1 0.5000 0.5000 0.0000 x1
Ir1 0.5000 0.5000 0.5000 x1



Material: CaLu2Cd
Method: DFT, PBE
State: optimized geometry

- Polymorph energy (0 for the lowest one): 0.0366 eV/atom
- Formation enthalpy at 0 K: -0.012 eV/atom

Cell lengths 4.9422, 4.9422, 4.6454 Å; angles 90.00, 90.00, 90.00 degrees
Space group P4/mmm (No. 123)
One atom of each set of equivalent atoms:
Ca1 0.0000 0.0000 0.0000 x1
Lu1 0.0000 0.5000 0.5000 x2
Cd1 0.5000 0.5000 0.0000 x1



Material: Na2SbC
Method: DFT, PBE
State: optimized geometry

- Polymorph energy (0 for the lowest one): 0.0000 eV/atom
- Formation energy without anion corrections: 0.7091 eV per atom

Cell lengths 10.3117, 10.3117, 4.4674 Å; angles 90.00, 90.00, 90.00 degrees
Space group I-42d (No. 122)
One atom of each set of equivalent atoms:
Na1 0.0086 0.2500 0.1250 x8
Sb1 0.0000 0.0000 0.5000 x4
C1 0.0000 0.0000 0.0000 x4



Material: Cs3Zr5Te12
Method: DFT, PBE
State: optimized geometry

- Formation energy without anion corrections: -0.7228 eV per atom

Cell lengths 18.9271, 18.9271, 18.9271 Å; angles 90.00, 90.00, 90.00 degrees
Space group Ia-3d (No. 230)
One atom of each set of equivalent atoms:
Cs1 0.0000 0.2500 0.1250 x24
Zr1 0.0000 0.0000 0.0000 x16
Zr2 0.0000 0.2500 0.3750 x24
Te1 0.0406 0.0471 0.6413 x96



Material: PrGa2Bi
Method: DFT, PBE
State: optimized geometry

- Polymorph energy (0 for the lowest one): 0.1867 eV/atom
- Formation enthalpy at 0 K: -0.283 eV/atom

Cell lengths 4.9119, 4.9119, 15.1878 Å; angles 90.00, 90.00, 120.00 degrees
Space group R-3m (No. 166, hexagonal axes)
One atom of each set of equivalent atoms:
Pr1 0.0000 0.0000 0.0000 x3
Ga1 0.0000 0.0000 0.2283 x6
Bi1 0.0000 0.0000 0.5000 x3



Material: MnCuPd2C
Method: DFT, PBE
State: optimized geometry

- Formation enthalpy at 0 K: 0.272 eV/atom

Cell lengths 4.1938, 4.1938, 3.8473 Å; angles 90.00, 90.00, 90.00 degrees
Space group P4/mmm (No. 123)
One atom of each set of equivalent atoms:
Mn1 0.0000 0.0000 0.0000 x1
Cu1 0.5000 0.5000 0.0000 x1
Pd1 0.0000 0.5000 0.5000 x2
C1 0.5000 0.5000 0.5000 x1



Material: Er4Sc9In11
Method: DFT, PBE
State: optimized geometry

- Formation enthalpy at 0 K: -0.360 eV/atom

Cell lengths 15.4053, 22.6911, 3.2747 Å; angles 90.00, 90.00, 90.00 degrees
Space group Cmmm (No. 65)
One atom of each set of equivalent atoms:
Er1 0.1756 0.0809 0.0000 x8
Sc1 0.0000 0.0000 0.0000 x2
Sc2 0.1028 0.4025 0.0000 x8
Sc3 0.1095 0.2207 0.0000 x8
In1 0.0000 0.1209 0.5000 x4
In2 0.0000 0.3096 0.5000 x4
In3 0.0000 0.5000 0.5000 x2
In4 0.1963 0.5000 0.5000 x4
In5 0.2224 0.3151 0.5000 x8



Material: RbEuBi4
Method: DFT, PBE
State: optimized geometry

- Formation enthalpy at 0 K: -0.295 eV/atom

Cell lengths 9.5690, 9.5690, 9.5690 Å; angles 90.00, 90.00, 90.00 degrees
Space group F-43m (No. 216)
One atom of each set of equivalent atoms:
Rb1 0.0000 0.0000 0.0000 x4
Eu1 0.2500 0.2500 0.7500 x4
Bi1 0.1248 0.1248 0.3752 x16



Material: LiTl2PbO5
Method: DFT, PBE
State: optimized geometry

- Formation energy without anion corrections: -0.8460 eV per atom

Cell lengths 3.4184, 13.3228, 11.5024 Å; angles 90.00, 90.00, 90.00 degrees
Space group Cmc2_1 (No. 36)
One atom of each set of equivalent atoms:
Li1 0.0000 0.0605 0.0000 x4
Tl1 0.0000 0.3721 0.9105 x4
Tl2 0.0000 0.4374 0.2212 x4
Pb1 0.0000 0.2779 0.6206 x4
O1 0.0000 0.0051 0.3402 x4
O2 0.0000 0.1142 0.5883 x4
O3 0.0000 0.2178 0.9914 x4
O4 0.0000 0.2527 0.2454 x4
O5 0.0000 0.4353 0.5920 x4



Material: TlSn4Cl8
Method: DFT, PBE
State: optimized geometry

- Polymorph energy (0 for the lowest one): 0.0207 eV/atom
- Formation energy without anion corrections: -0.8407 eV per atom

Cell lengths 12.5633, 12.5633, 12.5633 Å; angles 90.00, 90.00, 90.00 degrees
Space group F-43m (No. 216)
One atom of each set of equivalent atoms:
Tl1 0.0000 0.0000 0.0000 x4
Sn1 0.1221 0.1221 0.6221 x16
Cl1 0.1068 0.1068 0.3932 x16
Cl2 0.1423 0.1423 0.8577 x16



Material: SmThSe3
Method: DFT, PBE
State: optimized geometry

- Polymorph energy (0 for the lowest one): 0.1411 eV/atom
- Formation energy without anion corrections: -1.6533 eV per atom

Cell lengths 4.2714, 20.9951, 7.3739 Å; angles 90.00, 90.00, 90.00 degrees
Space group Cmc2_1 (No. 36)
One atom of each set of equivalent atoms:
Sm1 0.0000 0.1609 0.0000 x4
Th1 0.0000 0.3393 0.9954 x4
Se1 0.0000 0.0907 0.6632 x4
Se2 0.0000 0.2503 0.3307 x4
Se3 0.0000 0.4089 0.6655 x4



Material: Au3Br
Method: DFT, PBE
State: optimized geometry

- Polymorph energy (0 for the lowest one): 0.0000 eV/atom
- Formation energy without anion corrections: 0.1116 eV per atom

Cell lengths 3.5387, 3.5652, 7.1082 Å; angles 90.00, 90.00, 90.00 degrees
Space group Pmmm (No. 47)
One atom of each set of equivalent atoms:
Au1 0.0000 0.0000 0.0000 x1
Au2 0.5000 0.5000 0.1953 x2
Br1 0.0000 0.5000 0.5000 x1



| no. | magnetic moment (μB/f.u.) | VASP energy (Ha/atom) |
| --- | --- | --- |
| 1 | 0.00 | -0.367 |
| 2 | 0.00 | -0.110 |
| 3 | 0.00 | -0.121 |
| 4 | 0.00 | -0.179 |
| 5 | 0.00 | -0.146 |
| 6 | 4.60 | -0.232 |
| 7 | 2.06 | -0.175 |
| 8 | 7.03 | -0.175 |
| 9 | 0.00 | -0.175 |
| 10 | 0.00 | -0.125 |
| 11 | 0.41 | -0.227 |
| 12 | 0.00 | -0.102 |